(1)
Below is a PBEsol-optimized structure of Ce4CdPt, with properties calculated at the meta-GGA SCAN level.

abc: 9.619 9.619 9.619
angles: 60.00 60.00 60.00
Fractional positions:
Cd (0.671, 0.986, 0.671)
Ce (0.051, 0.449, 0.051)
Ce (0.309, 0.897, 0.897)
Cd (0.671, 0.671, 0.986)
Ce (0.316, 0.684, 0.316)
Ce (0.449, 0.449, 0.051)
Ce (0.449, 0.051, 0.051)
Ce (0.684, 0.684, 0.316)
Cd (0.986, 0.671, 0.671)
Ce (0.897, 0.897, 0.309)
Pt (0.108, 0.677, 0.108)
Ce (0.684, 0.316, 0.316)
Ce (0.316, 0.684, 0.684)
Ce (0.897, 0.897, 0.897)
Cd (0.671, 0.671, 0.671)
Ce (0.449, 0.051, 0.449)
Ce (0.051, 0.449, 0.449)
Pt (0.108, 0.108, 0.108)
Pt (0.108, 0.108, 0.677)
Pt (0.677, 0.108, 0.108)
Ce (0.897, 0.309, 0.897)
Ce (0.051, 0.051, 0.449)
Ce (0.316, 0.316, 0.684)
Ce (0.684, 0.316, 0.684)

Values from the calculation:
Energy of formation from the pure elements ... -0.510 eV/atom

(2)
Below is a PBEsol-optimized structure of PdPtSeO2, with properties calculated at the meta-GGA SCAN level.

abc: 3.782 3.782 4.843
angles: 90.00 90.00 90.00
Fractional positions:
Se (0.000, 0.000, 0.000)
Pt (0.500, 0.500, 0.500)
Pd (0.000, 0.000, 0.500)
O (0.000, 0.500, 0.000)
O (0.500, 0.000, 0.000)

Values from the calculation:
Calculated total energy ... -26.68 eV/atom

(3)
Below is a PBEsol-optimized structure of TiCrO2, with properties calculated at the meta-GGA SCAN level.

abc: 3.015 3.015 6.068
angles: 75.62 75.62 60.00
Fractional positions:
O (0.889, 0.889, 0.334)
Ti (0.000, 0.000, 0.000)
O (0.111, 0.111, 0.666)
Cr (0.500, 0.500, 0.500)

Values from the calculation:
Distance to the lowest polymorph of the same formula ... 0 meV/atom